RbHo2CuTe3S | PBE | relaxed

```
RbHo2CuTe3S
1.0
-0.4038 6.5382 -4.1958
0.0372 -7.7780 0.1322
-14.8122 -0.0480 1.3508
S Te Ho Cu Rb
2 6 4 2 2
Cartesian
-11.4774 5.3485 -2.8339
-3.7013 -6.6362 0.1211
-9.1505 -4.5246 -0.0316
-0.1833 -0.6199 -2.0318
-6.0282 3.2368 -2.6812
-1.9832 3.2499 -3.0501
-13.1956 -4.5377 0.3373
-7.5894 -0.6439 -1.3564
-6.2850 -5.8783 0.1229
-8.8937 4.5905 -2.8357
-1.1649 -5.8617 -0.3440
-14.0138 4.5740 -2.3688
-11.2230 -2.9074 -0.3381
-3.9557 1.6196 -2.3748
-11.3322 0.6356 -1.4091
-3.8465 -1.9233 -1.3037
```

Summary:
size of the total moment: 0.00 μB/cell
energy above the most stable polymorph in this dataset: 0.0000 eV per atom